Run one
DFT (PBE-GGA) results for an optimized crystal structure of MnTe4Mo.

Cell and atoms, written as extended XYZ:
```
6
Lattice="4.5535 -4.7070 0.0000 4.5535 4.7070 0.0000 0.0000 0.0000 3.7852" Properties=species:S:1:pos:R:3 pbc="T T T"
Mn 0.0000 0.0000 0.0000
Te 1.8418 0.0000 1.8926
Te 4.5535 1.9629 0.0000
Te 4.5535 -1.9629 0.0000
Te 7.2651 0.0000 1.8926
Mo 4.5535 0.0000 1.8926
```

Run two
DFT (PBE-GGA) results for an optimized crystal structure of MnTe4Mo.

Cell and atoms, written as extended XYZ:
```
6
Lattice="0.0000 4.4519 4.4519 4.4519 0.0000 4.4519 4.4519 4.4519 0.0000" Properties=species:S:1:pos:R:3 pbc="T T T"
Mn 0.0000 0.0000 0.0000
Te 3.3400 3.3400 3.3400
Te 5.5638 5.5638 3.3400
Te 5.5638 3.3400 5.5638
Te 3.3400 5.5638 5.5638
Mo 6.6778 6.6778 6.6778
```

Which structure wins on stability? run one wins.